Compound: HoTh2Ni
Source: the Alexandria database
Functional: PBE
Structure: optimized geometry

The formation energy is 0.16 eV per atom. Its total moment is 0.00 Bohr magnetons per cell. The calculation puts the volume at 28.8 A^3/atom.

The space group is R-3m (No. 166, hexagonal axes) and the conventional cell measures 3.5868, 3.5868 and 31.0294 Å, with angles of 90.00, 90.00 and 120.00 degrees. The inequivalent atoms are Ho at (0.0000, 0.0000, 0.0000), Th at (0.0000, 0.0000, 0.1067) and Ni at (0.0000, 0.0000, 0.5000).